[1]
A plane-wave DFT calculation with PBE was carried out for an optimized crystal structure of DyReO6.

Calculated values
Density of states at the Fermi level = 0.2596 states/eV per atom
Energy = -7.48 eV per atom
Uncorrected formation energy = -1.628 eV/atom

Cell: 5.667 6.590 5.025 Å, 90.00 99.32 90.00°
Space group C2/m (No. 12)
Asymmetric unit:
Dy  0.000  0.000  0.000 (multiplicity 2)
Re  0.000  0.500  0.500 (multiplicity 2)
O  0.140  0.309  0.761 (multiplicity 8)
O  0.219  0.000  0.657 (multiplicity 4)


[2]
A plane-wave DFT calculation with PBE was carried out for an optimized crystal structure of MnPt2Rh.

Calculated values
Energy of formation = -0.182 eV per atom
Density of states at the Fermi level = 1.1615 states/eV per atom
Energy = -7.33 eV per atom

Cell: 2.782 3.806 5.598 Å, 90.00 90.00 90.00°
Space group Pmm2 (No. 25)
Asymmetric unit:
Mn  0.000  0.000  0.000 (multiplicity 1)
Pt  0.000  0.000  0.511 (multiplicity 1)
Pt  0.500  0.500  0.244 (multiplicity 1)
Rh  0.500  0.500  0.760 (multiplicity 1)


[3]
A plane-wave DFT calculation with PBE was carried out for an optimized crystal structure of ScVTc.

Calculated values
Energy of formation = -0.202 eV per atom
Density of states at the Fermi level = 1.6195 states/eV per atom
Energy = -8.81 eV per atom
Excess energy over the best structure of this formula in the dataset = 0.00 eV/f.u.

Cell: 5.268 5.283 7.226 Å, 90.00 90.00 90.00°
Space group Imma (No. 74)
Asymmetric unit:
Sc  0.000  0.250  0.127 (multiplicity 4)
V  0.250  0.250  0.750 (multiplicity 4)
Tc  0.000  0.000  0.500 (multiplicity 4)


[4]
A plane-wave DFT calculation with PBE was carried out for an optimized crystal structure of Mg2FeSe.

Calculated values
Density of states at the Fermi level = 0.6366 states/eV per atom
Energy = -3.84 eV per atom
Uncorrected formation energy = -0.056 eV/atom

Cell: 4.509 4.509 3.477 Å, 90.00 90.00 90.00°
Space group P4/mmm (No. 123)
Asymmetric unit:
Mg  0.000  0.500  0.000 (multiplicity 2)
Fe  0.000  0.000  0.500 (multiplicity 1)
Se  0.500  0.500  0.500 (multiplicity 1)


[5]
A plane-wave DFT calculation with PBE was carried out for an optimized crystal structure of AlCdBr2.

Calculated values
Density of states at the Fermi level = 0.4480 states/eV per atom
Energy = -2.24 eV per atom
Uncorrected formation energy = -0.242 eV/atom
Excess energy over the best structure of this formula in the dataset = 0.97 eV/f.u.

Cell: 3.468 3.468 9.052 Å, 90.00 90.00 90.00°
Space group P4mm (No. 99)
Asymmetric unit:
Al  0.000  0.000  0.000 (multiplicity 1)
Cd  0.500  0.500  0.769 (multiplicity 1)
Br  0.000  0.000  0.585 (multiplicity 1)
Br  0.500  0.500  0.179 (multiplicity 1)


[6]
A plane-wave DFT calculation with PBE was carried out for an optimized crystal structure of SrLi2Hg2.

Calculated values
Energy of formation = -0.380 eV per atom
Density of states at the Fermi level = 0.6708 states/eV per atom
Energy = -1.60 eV per atom
Excess energy over the best structure of this formula in the dataset = 0.00 eV/f.u.

Cell: 4.352 4.352 13.391 Å, 90.00 90.00 90.00°
Space group I4/mmm (No. 139)
Asymmetric unit:
Sr  0.000  0.000  0.000 (multiplicity 2)
Li  0.000  0.500  0.250 (multiplicity 4)
Hg  0.000  0.000  0.383 (multiplicity 4)


[7]
A plane-wave DFT calculation with PBE was carried out for an optimized crystal structure of CaLaIn.

Calculated values
Energy of formation = -0.284 eV per atom
Density of states at the Fermi level = 0.7666 states/eV per atom
Energy = -3.51 eV per atom
Excess energy over the best structure of this formula in the dataset = 0.48 eV/f.u.

Cell: 11.296 4.710 7.484 Å, 90.00 109.09 90.00°
Space group C2/m (No. 12)
Asymmetric unit:
Ca  0.146  0.000  0.329 (multiplicity 4)
La  0.167  0.000  0.837 (multiplicity 4)
In  0.000  0.500  0.000 (multiplicity 2)
In  0.000  0.500  0.500 (multiplicity 2)


[8]
A plane-wave DFT calculation with PBE was carried out for an optimized crystal structure of KPm3Sm2Se6.

Calculated values
Density of states at the Fermi level = 0.3603 states/eV per atom
Energy = -5.59 eV per atom
Uncorrected formation energy = -1.778 eV/atom

Cell: 18.483 4.201 8.570 Å, 90.00 103.40 90.00°
Space group C2/m (No. 12)
Asymmetric unit:
K  0.000  0.000  0.000 (multiplicity 2)
Pm  0.000  0.000  0.500 (multiplicity 2)
Pm  0.163  0.500  0.823 (multiplicity 4)
Sm  0.169  0.500  0.343 (multiplicity 4)
Se  0.003  0.500  0.264 (multiplicity 4)
Se  0.166  0.000  0.583 (multiplicity 4)
Se  0.173  0.000  0.086 (multiplicity 4)